# Rh2PbS2

Rh2PbS2 after structural relaxation (PBE, the Alexandria database).

a b c (Å): 5.566 5.566 5.566
angles (deg): 132.33 132.33 69.71
Fractional coordinates of all 5 atoms:
Rh: 0.159 0.159 0.000
Rh: 0.841 0.841 0.000
Pb: 0.500 0.500 0.000
S: 0.250 0.750 0.500
S: 0.750 0.250 0.500

Computed properties:
The density of states at the Fermi level is 2.085 states/eV/f.u. As for the total energy: -5.466 eV per atom. As for the uncorrected formation energy: -132.7 meV/atom. For the magnetization, the calculation gives 0.0 μB per formula unit.